TlPb2Br5 (meta-GGA SCAN, single point on PBEsol structure); raw formation energy = -7.6 eV per formula unit; volume = 970 Å³/cell
1.0
-5.372 3.551 -5.089
-6.806 -4.731 3.884
-1.802 9.518 8.544
Pb Br Tl
8 20 4
Direct
0.984 0.008 0.322
0.926 0.254 0.006
0.484 0.992 0.178
0.516 0.008 0.822
0.574 0.254 0.506
0.016 0.992 0.678
0.074 0.746 0.994
0.426 0.746 0.494
0.842 0.772 0.813
0.811 0.234 0.778
0.658 0.772 0.313
0.962 0.224 0.502
0.177 0.457 0.913
0.158 0.228 0.187
0.311 0.766 0.722
0.323 0.457 0.413
0.038 0.776 0.498
0.689 0.234 0.278
0.342 0.228 0.687
0.334 0.044 0.402
0.666 0.956 0.598
0.462 0.776 0.998
0.677 0.543 0.587
0.538 0.224 0.002
0.823 0.543 0.087
0.166 0.044 0.902
0.834 0.956 0.098
0.189 0.766 0.222
0.954 0.508 0.330
0.046 0.492 0.670
0.454 0.492 0.170
0.546 0.508 0.830

=====

TlPbBr2 (meta-GGA SCAN, single point on PBEsol structure); raw formation energy = -2.4 eV per formula unit; volume = 125 Å³/cell
1.0
-3.321 -0.819 -1.286
1.794 -4.873 -1.529
-1.598 -2.353 5.622
Tl Br Pb
1 2 1
Direct
0.500 0.500 0.874
0.500 0.500 0.374
0.000 0.000 0.876
0.000 0.000 0.375

=====

TlPb2Br (meta-GGA SCAN, single point on PBEsol structure); raw formation energy = -0.6 eV per formula unit; volume = 113 Å³/cell
1.0
-3.842 1.165 -3.680
0.585 -5.082 1.810
-1.980 3.861 3.290
Pb Br Tl
2 1 1
Direct
0.000 0.000 0.000
0.750 0.500 0.250
0.250 0.500 0.750
0.500 0.000 0.500

=====

TlPbBr (meta-GGA SCAN, single point on PBEsol structure); raw formation energy = -0.7 eV per formula unit; volume = 86 Å³/cell
1.0
-1.929 2.932 1.732
-3.152 -2.296 0.375
4.388 -2.042 3.923
Pb Tl Br
1 1 1
Direct
0.670 0.670 0.339
0.328 0.328 0.656
0.002 0.002 0.004

=====

PbWBr2 (meta-GGA SCAN, single point on PBEsol structure); energy relative to the lowest polymorph listed for this composition = 0.0 meV per atom; raw formation energy = 2.6 eV per formula unit; volume = 89 Å³/cell
1.0
-1.652 1.356 2.462
1.037 -2.361 1.996
6.683 4.589 1.958
W Br Pb
1 2 1
Direct
0.500 0.500 0.782
0.000 0.000 0.935
0.500 0.500 0.264
0.000 0.000 0.519

=====

PbWBr2 (meta-GGA SCAN, single point on PBEsol structure); energy relative to the lowest polymorph listed for this composition = 586.9 meV per atom; raw formation energy = 4.9 eV per formula unit; volume = 84 Å³/cell
1.0
-1.969 2.598 -0.007
-3.908 -2.966 -1.319
-1.029 -0.766 4.916
Br Pb W
2 1 1
Direct
0.000 0.000 0.500
0.000 0.500 0.000
0.500 0.000 0.000
0.500 0.500 0.500

=====

YPb2Br (meta-GGA SCAN, single point on PBEsol structure); raw formation energy = -2.7 eV per formula unit; volume = 114 Å³/cell
1.0
-1.177 3.323 0.280
-3.771 -1.536 2.383
5.905 -0.174 4.563
Pb Br Y
2 1 1
Direct
0.206 0.206 0.412
0.794 0.794 0.588
0.000 0.500 0.000
0.500 0.000 0.000

=====

ZnPbBr2 (meta-GGA SCAN, single point on PBEsol structure); energy relative to the lowest polymorph listed for this composition = 263.1 meV per atom; raw formation energy = -1.0 eV per formula unit; volume = 114 Å³/cell
1.0
-3.358 2.776 -2.993
-2.471 -3.156 3.483
2.991 3.072 3.133
Br Zn Pb
2 1 1
Direct
0.000 0.000 0.500
0.000 0.500 0.000
0.500 0.000 0.000
0.500 0.500 0.500

=====

ZnPb2Br (meta-GGA SCAN, single point on PBEsol structure); energy relative to the lowest polymorph listed for this composition = 31.0 meV per atom; raw formation energy = 0.0 eV per formula unit; volume = 101 Å³/cell
1.0
-3.153 1.111 0.704
-1.838 -2.326 -4.563
-1.003 -4.588 2.748
Pb Br Zn
2 1 1
Direct
0.000 0.000 0.500
0.000 0.500 0.000
0.500 0.500 0.500
0.500 0.000 0.000

=====

ZnPbBr2 (meta-GGA SCAN, single point on PBEsol structure); energy relative to the lowest polymorph listed for this composition = 0.0 meV per atom; raw formation energy = -2.1 eV per formula unit; volume = 106 Å³/cell
1.0
3.790 0.000 0.000
0.000 4.910 0.021
0.000 -2.048 5.680
Zn Br Pb
1 2 1
Direct
0.500 0.467 0.845
0.000 0.859 0.880
0.500 0.547 0.283
0.000 0.127 0.492

=====

ZnPb2Br (meta-GGA SCAN, single point on PBEsol structure); energy relative to the lowest polymorph listed for this composition = 120.6 meV per atom; raw formation energy = 0.3 eV per formula unit; volume = 103 Å³/cell
1.0
-0.476 4.749 0.862
-2.837 -0.976 3.811
5.198 -2.005 0.269
Pb Zn Br
2 1 1
Direct
0.750 0.250 0.500
0.250 0.750 0.500
0.500 0.500 0.000
0.000 0.000 0.000

=====

ZnPb2Br (meta-GGA SCAN, single point on PBEsol structure); energy relative to the lowest polymorph listed for this composition = 0.0 meV per atom; raw formation energy = -0.1 eV per formula unit; volume = 106 Å³/cell
1.0
3.509 0.000 0.000
0.000 5.084 0.000
0.000 0.000 5.918
Br Zn Pb
1 1 2
Direct
0.000 0.500 0.500
0.500 0.500 0.000
0.000 0.000 0.000
0.500 0.000 0.500

=====

ZnPb2Br (meta-GGA SCAN, single point on PBEsol structure); energy relative to the lowest polymorph listed for this composition = 13.4 meV per atom; raw formation energy = -0.1 eV per formula unit; volume = 104 Å³/cell
1.0
-3.364 -1.016 -0.110
0.499 -1.155 -4.607
3.404 -5.244 1.683
Br Pb Zn
1 2 1
Direct
0.000 0.500 0.500
0.666 0.000 0.772
0.334 0.000 0.228
0.500 0.500 0.000

=====

ZnPb3Br (meta-GGA SCAN, single point on PBEsol structure); raw formation energy = 0.8 eV per formula unit; volume = 154 Å³/cell
1.0
5.363 0.000 0.000
0.000 5.363 0.000
0.000 0.000 5.363
Pb Br Zn
3 1 1
Direct
0.000 0.500 0.000
0.500 0.000 0.000
0.000 0.000 0.500
0.500 0.500 0.500
0.000 0.000 0.000

=====

PdPt2RhBr (meta-GGA SCAN, single point on PBEsol structure); raw formation energy = 6.5 eV per formula unit; volume = 94 Å³/cell
1.0
4.453 0.000 0.000
0.000 4.606 0.000
0.000 0.000 4.606
Pt Rh Br Pd
2 1 1 1
Direct
0.000 0.000 0.500
0.000 0.500 0.000
0.500 0.000 0.000
0.000 0.000 0.000
0.500 0.500 0.500

=====

RePdRhBr2 (meta-GGA SCAN, single point on PBEsol structure); raw formation energy = 6.2 eV per formula unit; volume = 111 Å³/cell
1.0
-0.493 2.497 -4.021
0.920 -3.971 -2.579
-4.709 -1.044 -0.072
Rh Br Re Pd
1 2 1 1
Direct
0.500 0.000 0.000
0.000 0.500 0.000
0.000 0.000 0.500
0.000 0.000 0.000
0.500 0.500 0.500

=====

ReTcPdBr2 (meta-GGA SCAN, single point on PBEsol structure); raw formation energy = 7.3 eV per formula unit; volume = 113 Å³/cell
1.0
-0.848 4.386 1.757
-4.779 -0.753 -0.429
-0.116 -1.825 4.499
Br Re Pd Tc
2 1 1 1
Direct
0.000 0.000 0.500
0.000 0.500 0.000
0.000 0.000 0.000
0.500 0.500 0.500
0.500 0.000 0.000

=====

PdRhBr2 (meta-GGA SCAN, single point on PBEsol structure); raw formation energy = 1.7 eV per formula unit; volume = 80 Å³/cell
1.0
3.348 0.000 0.000
1.674 2.900 0.000
1.674 0.967 8.264
Br Pd Rh
2 1 1
Direct
0.905 0.905 0.284
0.095 0.095 0.716
0.500 0.500 0.500
0.000 0.000 0.000

=====

PdRuBr2 (meta-GGA SCAN, single point on PBEsol structure); raw formation energy = 2.7 eV per formula unit; volume = 74 Å³/cell
1.0
-2.440 -1.111 1.636
-0.067 -3.019 0.864
3.217 0.660 8.261
Br Pd Ru
2 1 1
Direct
0.910 0.910 0.269
0.090 0.090 0.731
0.500 0.500 0.500
0.000 0.000 0.000

=====

Pd3RuBr (meta-GGA SCAN, single point on PBEsol structure); raw formation energy = 5.9 eV per formula unit; volume = 105 Å³/cell
1.0
-2.619 -3.563 -1.665
3.794 -1.762 -2.197
1.036 -2.555 3.837
Pd Br Ru
3 1 1
Direct
0.500 0.000 0.000
0.000 0.500 0.000
0.000 0.000 0.500
0.500 0.500 0.500
0.000 0.000 0.000

=====

PdSBr2 (meta-GGA SCAN, single point on PBEsol structure); raw formation energy = 3.2 eV per formula unit; volume = 74 Å³/cell
1.0
4.721 0.000 0.000
2.360 4.088 0.000
2.360 1.363 3.855
Pd S Br
1 1 2
Direct
0.500 0.500 0.500
0.000 0.000 0.000
0.250 0.250 0.250
0.750 0.750 0.750

=====

ScPdBr2 (meta-GGA SCAN, single point on PBEsol structure); raw formation energy = -3.0 eV per formula unit; volume = 88 Å³/cell
1.0
-0.169 3.429 -0.387
-0.496 2.027 2.753
8.155 2.356 1.902
Sc Pd Br
1 1 2
Direct
0.500 0.500 0.500
0.000 0.000 0.000
0.096 0.096 0.711
0.904 0.904 0.289

=====

ScPd3Br (meta-GGA SCAN, single point on PBEsol structure); raw formation energy = 1.7 eV per formula unit; volume = 102 Å³/cell
1.0
-1.920 -2.589 3.380
-0.100 -3.680 -2.875
4.257 -1.254 1.457
Sc Pd Br
1 3 1
Direct
0.500 0.500 0.500
0.000 0.000 0.500
0.000 0.500 0.000
0.500 0.000 0.000
0.000 0.000 0.000

=====

ScPdSeBr2 (meta-GGA SCAN, single point on PBEsol structure); raw formation energy = -1.7 eV per formula unit; volume = 122 Å³/cell
1.0
-3.547 -1.467 3.039
3.177 -2.939 2.289
1.181 3.767 3.197
Sc Br Pd Se
1 2 1 1
Direct
0.500 0.500 0.500
0.000 0.500 0.000
0.500 0.000 0.000
0.000 0.000 0.000
0.000 0.000 0.500

=====

PdSe2Br (meta-GGA SCAN, single point on PBEsol structure); raw formation energy = -1.3 eV per formula unit; volume = 88 Å³/cell
1.0
-0.680 1.429 3.410
-0.047 -4.281 1.785
5.000 1.775 0.253
Se Br Pd
2 1 1
Direct
0.000 0.362 0.655
0.000 0.638 0.345
0.500 0.000 0.000
0.500 0.000 0.500

=====

YPdSe2Br (meta-GGA SCAN, single point on PBEsol structure); raw formation energy = -3.4 eV per formula unit; volume = 118 Å³/cell
1.0
4.800 0.000 0.000
0.000 4.957 0.000
0.000 0.000 4.957
Br Pd Se Y
1 1 2 1
Direct
0.500 0.000 0.000
0.000 0.000 0.000
0.000 0.500 0.000
0.000 0.000 0.500
0.500 0.500 0.500

=====

ZrPdSeBr2 (meta-GGA SCAN, single point on PBEsol structure); energy relative to the lowest polymorph listed for this composition = 443.3 meV per atom; raw formation energy = 0.2 eV per formula unit; volume = 119 Å³/cell
1.0
-1.196 3.237 -3.429
-4.575 0.060 1.652
1.182 3.761 3.138
Br Se Pd Zr
2 1 1 1
Direct
0.500 0.000 0.000
0.000 0.500 0.000
0.000 0.000 0.500
0.000 0.000 0.000
0.500 0.500 0.500

=====

ZrPdSeBr2 (meta-GGA SCAN, single point on PBEsol structure); energy relative to the lowest polymorph listed for this composition = 0.0 meV per atom; raw formation energy = -2.0 eV per formula unit; volume = 138 Å³/cell
1.0
5.108 0.000 0.000
0.000 5.196 0.000
0.000 0.000 5.196
Br Se Zr Pd
2 1 1 1
Direct
0.000 0.500 0.000
0.000 0.000 0.500
0.500 0.000 0.000
0.000 0.000 0.000
0.500 0.500 0.500

=====

no.,DFT total energy (eV/atom),DOS at the Fermi energy (states/eV/f.u.)
1,-41.106,0.00
2,-47.354,1.23
3,-61.002,1.52
4,-56.095,1.41
5,-45.458,2.26
6,-44.871,2.37
7,-50.388,2.13
8,-32.315,0.81
9,-46.139,1.18
10,-32.578,0.30
11,-46.049,1.92
12,-46.170,2.03
13,-46.156,1.88
14,-51.899,4.70
15,-43.987,7.41
16,-34.066,6.64
17,-34.101,4.34
18,-25.951,3.72
19,-25.954,4.38
20,-29.352,6.22
21,-19.533,2.96
22,-22.244,2.11
23,-26.064,4.21
24,-21.538,3.71
25,-23.415,0.64
26,-24.734,1.06
27,-24.456,2.84
28,-24.900,4.10